[1]
PuNpPt | GGA-PBE | optimized geometry

## Properties
Total magnetization: 0.346 μB/cell
Raw total energy: -135.53 eV per cell
Formation enthalpy at 0 K: -0.6 eV per formula unit
Energy above the lowest structure with this stoichiometry: 86 meV per atom

a b c (Å): 3.550 12.795 5.108
angles (deg): 90.00 90.00 90.00
Space group Cmcm (No. 63)
One atom of each set of equivalent atoms:
Pu: 0.000 0.015 0.250 x4
Np: 0.000 0.388 0.250 x4
Pt: 0.000 0.295 0.750 x4



[2]
PuNpPt | GGA-PBE | optimized geometry

## Properties
Total magnetization: 1.743 μB/cell
Raw total energy: -34.14 eV per cell
Formation enthalpy at 0 K: -0.8 eV per formula unit
Energy above the lowest structure with this stoichiometry: 0 meV per atom

a b c (Å): 4.8595 4.8595 2.7869
angles (deg): 90.00 90.00 120.00
Space group P-6m2 (No. 187)
One atom of each set of equivalent atoms:
Pu: 0.0000 0.0000 0.0000 x1
Np: 0.6667 0.3333 0.0000 x1
Pt: 0.3333 0.6667 0.5000 x1



[3]
Pu2NpPt3 | GGA-PBE | optimized geometry

## Properties
Total magnetization: 56.995 μB/cell
Raw total energy: -253.48 eV per cell
Formation enthalpy at 0 K: -3.6 eV per formula unit

a b c (Å): 12.932 5.765 8.124
angles (deg): 90.00 108.31 90.00
Space group C2/c (No. 15)
One atom of each set of equivalent atoms:
Pu: 0.168 0.000 0.084 x8
Np: 0.000 0.499 0.250 x4
Pt: 0.000 0.001 0.750 x4
Pt: 0.162 0.500 0.081 x8



[4]
Pu2NpPt9 | GGA-PBE | optimized geometry

## Properties
Total magnetization: 41.256 μB/cell
Raw total energy: -311.23 eV per cell
Formation enthalpy at 0 K: -7.8 eV per formula unit

a b c (Å): 5.4042 5.4042 26.7053
angles (deg): 90.00 90.00 120.00
Space group R-3m (No. 166, hexagonal axes)
One atom of each set of equivalent atoms:
Pu: 0.0000 0.0000 0.1421 x6
Np: 0.0000 0.0000 0.0000 x3
Pt: 0.0000 0.0000 0.3327 x6
Pt: 0.0000 0.0000 0.5000 x3
Pt: 0.0032 0.5016 0.9152 x18



[5]
Pu3NpPt8 | GGA-PBE | optimized geometry

## Properties
Total magnetization: 4.415 μB/cell
Raw total energy: -340.00 eV per cell
Formation enthalpy at 0 K: -9.1 eV per formula unit

a b c (Å): 5.4633 5.4633 26.5242
angles (deg): 90.00 90.00 120.00
Space group R3m (No. 160, hexagonal axes)
One atom of each set of equivalent atoms:
Pu: 0.0000 0.0000 0.0000 x3
Pu: 0.0000 0.0000 0.1218 x3
Pu: 0.0000 0.0000 0.4998 x3
Np: 0.0000 0.0000 0.6210 x3
Pt: 0.0000 0.0000 0.3107 x3
Pt: 0.0000 0.0000 0.8107 x3
Pt: 0.0004 0.5002 0.5610 x9
Pt: 0.1669 0.3339 0.3937 x9



[6]
PuNpPtRh | GGA-PBE | optimized geometry

## Properties
Total magnetization: 36.953 μB/cell
Raw total energy: -169.67 eV per cell
Formation enthalpy at 0 K: -1.8 eV per formula unit
Energy above the lowest structure with this stoichiometry: 73 meV per atom

a b c (Å): 6.918 6.918 6.918
angles (deg): 90.00 90.00 90.00
Space group F-43m (No. 216)
One atom of each set of equivalent atoms:
Pu: 0.000 0.000 0.000 x4
Np: 0.000 0.000 0.500 x4
Pt: 0.250 0.250 0.750 x4
Rh: 0.250 0.250 0.250 x4



[7]
PuNpPtRh | GGA-PBE | optimized geometry

## Properties
Total magnetization: 7.595 μB/cell
Raw total energy: -170.83 eV per cell
Formation enthalpy at 0 K: -2.0 eV per formula unit
Energy above the lowest structure with this stoichiometry: 0 meV per atom

a b c (Å): 6.556 6.556 6.556
angles (deg): 90.00 90.00 90.00
Space group F-43m (No. 216)
One atom of each set of equivalent atoms:
Pu: 0.000 0.000 0.000 x4
Np: 0.250 0.250 0.250 x4
Pt: 0.250 0.250 0.750 x4
Rh: 0.000 0.000 0.500 x4



[8]
PuNpRuPt | GGA-PBE | optimized geometry

## Properties
Total magnetization: 33.369 μB/cell
Raw total energy: -174.96 eV per cell
Formation enthalpy at 0 K: -1.1 eV per formula unit

a b c (Å): 6.865 6.865 6.865
angles (deg): 90.00 90.00 90.00
Space group F-43m (No. 216)
One atom of each set of equivalent atoms:
Pu: 0.000 0.000 0.000 x4
Np: 0.000 0.000 0.500 x4
Ru: 0.250 0.250 0.250 x4
Pt: 0.250 0.250 0.750 x4



[9]
PuNpSbPt | GGA-PBE | optimized geometry

## Properties
Total magnetization: 40.007 μB/cell
Raw total energy: -155.91 eV per cell
Uncorrected formation energy: -0.385 eV per atom

a b c (Å): 7.285 7.285 7.285
angles (deg): 90.00 90.00 90.00
Space group F-43m (No. 216)
One atom of each set of equivalent atoms:
Pu: 0.000 0.000 0.000 x4
Np: 0.000 0.000 0.500 x4
Sb: 0.250 0.250 0.750 x4
Pt: 0.250 0.250 0.250 x4



[10]
Pu2NpSi3Pt4 | GGA-PBE | optimized geometry

## Properties
Total magnetization: 14.863 μB/cell
Raw total energy: -89.21 eV per cell
Uncorrected formation energy: -0.717 eV per atom

a b c (Å): 4.249 4.249 10.725
angles (deg): 90.00 90.00 90.00
Space group P-4m2 (No. 115)
One atom of each set of equivalent atoms:
Pu: 0.000 0.500 0.241 x2
Np: 0.000 0.000 0.500 x1
Si: 0.000 0.500 0.883 x2
Si: 0.500 0.500 0.500 x1
Pt: 0.000 0.000 0.000 x1
Pt: 0.000 0.500 0.662 x2
Pt: 0.500 0.500 0.000 x1



[11]
PuNpSnPt | GGA-PBE | optimized geometry

## Properties
Total magnetization: 43.458 μB/cell
Raw total energy: -152.84 eV per cell
Formation enthalpy at 0 K: -0.9 eV per formula unit

a b c (Å): 7.090 7.090 7.090
angles (deg): 90.00 90.00 90.00
Space group F-43m (No. 216)
One atom of each set of equivalent atoms:
Pu: 0.000 0.000 0.000 x4
Np: 0.250 0.250 0.250 x4
Sn: 0.000 0.000 0.500 x4
Pt: 0.250 0.250 0.750 x4



[12]
PuNpUPt | GGA-PBE | optimized geometry

## Properties
Total magnetization: 6.707 μB/cell
Raw total energy: -181.23 eV per cell
Formation enthalpy at 0 K: -0.7 eV per formula unit

a b c (Å): 6.777 6.777 6.777
angles (deg): 90.00 90.00 90.00
Space group F-43m (No. 216)
One atom of each set of equivalent atoms:
Pu: 0.000 0.000 0.000 x4
Np: 0.250 0.250 0.250 x4
U: 0.000 0.000 0.500 x4
Pt: 0.250 0.250 0.750 x4



[13]
Rb3Np3PtS8 | GGA-PBE | optimized geometry

## Properties
Total magnetization: 6.416 μB/cell
Raw total energy: -196.35 eV per cell
Uncorrected formation energy: -1.159 eV per atom

a b c (Å): 14.413 7.693 9.157
angles (deg): 90.00 122.50 90.00
Space group C2/m (No. 12)
One atom of each set of equivalent atoms:
Rb: 0.000 0.000 0.000 x2
Rb: 0.250 0.250 0.000 x4
Np: 0.000 0.500 0.500 x2
Np: 0.250 0.250 0.500 x4
Pt: 0.000 0.000 0.500 x2
S: 0.022 0.220 0.335 x8
S: 0.198 0.500 0.269 x4
S: 0.229 0.500 0.696 x4



[14]
Rb3Np2PtS6 | GGA-PBE | optimized geometry

## Properties
Total magnetization: 13.544 μB/cell
Raw total energy: -144.18 eV per cell
Uncorrected formation energy: -1.042 eV per atom

a b c (Å): 6.764 12.182 7.984
angles (deg): 90.00 105.75 90.00
Space group C2/m (No. 12)
One atom of each set of equivalent atoms:
Rb: 0.000 0.000 0.000 x2
Rb: 0.000 0.341 0.000 x4
Np: 0.000 0.167 0.500 x4
Pt: 0.000 0.500 0.500 x2
S: 0.238 0.326 0.698 x8
S: 0.249 0.000 0.672 x4



[15]
RbNp4Pt3S12 | GGA-PBE | optimized geometry

## Properties
Total magnetization: 22.000 μB/cell
Raw total energy: -274.78 eV per cell
Uncorrected formation energy: -0.850 eV per atom

a b c (Å): 9.770 9.770 9.770
angles (deg): 90.00 90.00 90.00
Space group Im-3 (No. 204)
One atom of each set of equivalent atoms:
Rb: 0.000 0.000 0.000 x2
Np: 0.250 0.250 0.250 x8
Pt: 0.000 0.000 0.500 x6
S: 0.000 0.322 0.162 x24



[16]
Rb2NpPtS4 | GGA-PBE | optimized geometry

## Properties
Total magnetization: 24.012 μB/cell
Raw total energy: -351.10 eV per cell
Uncorrected formation energy: -0.808 eV per atom

a b c (Å): 6.344 15.086 23.963
angles (deg): 90.00 90.00 90.00
Space group Fddd (No. 70, origin choice 2)
One atom of each set of equivalent atoms:
Rb: 0.125 0.125 0.306 x16
Np: 0.125 0.125 0.125 x8
Pt: 0.125 0.125 0.625 x8
S: 0.105 0.267 0.837 x32



[17]
RbNp4Pt3Se12 | GGA-PBE | optimized geometry

## Properties
Total magnetization: 21.992 μB/cell
Raw total energy: -252.54 eV per cell
Uncorrected formation energy: -0.680 eV per atom

a b c (Å): 10.274 10.274 10.274
angles (deg): 90.00 90.00 90.00
Space group Im-3 (No. 204)
One atom of each set of equivalent atoms:
Rb: 0.000 0.000 0.000 x2
Np: 0.250 0.250 0.250 x8
Pt: 0.000 0.000 0.500 x6
Se: 0.000 0.163 0.322 x24



[18]
Rb2Np2PtSe6 | GGA-PBE | optimized geometry

## Properties
Total magnetization: 16.146 μB/cell
Raw total energy: -130.15 eV per cell
Uncorrected formation energy: -0.937 eV per atom

a b c (Å): 7.003 11.913 8.625
angles (deg): 90.00 106.12 90.00
Space group C2/m (No. 12)
One atom of each set of equivalent atoms:
Rb: 0.000 0.171 0.000 x4
Np: 0.000 0.332 0.500 x4
Pt: 0.000 0.000 0.500 x2
Se: 0.224 0.155 0.689 x8
Se: 0.247 0.000 0.315 x4



[19]
Rb3Np2PtSe6 | GGA-PBE | optimized geometry

## Properties
Total magnetization: 13.841 μB/cell
Raw total energy: -134.18 eV per cell
Uncorrected formation energy: -0.946 eV per atom

a b c (Å): 7.116 12.603 8.332
angles (deg): 90.00 106.07 90.00
Space group C2/m (No. 12)
One atom of each set of equivalent atoms:
Rb: 0.000 0.000 0.000 x2
Rb: 0.000 0.337 0.000 x4
Np: 0.000 0.168 0.500 x4
Pt: 0.000 0.500 0.500 x2
Se: 0.233 0.333 0.697 x8
Se: 0.246 0.500 0.322 x4



[20]
Rb3Np3PtSe8 | GGA-PBE | optimized geometry

## Properties
Total magnetization: 21.863 μB/cell
Raw total energy: -182.04 eV per cell
Uncorrected formation energy: -1.025 eV per atom

a b c (Å): 14.263 8.231 9.479
angles (deg): 90.00 120.07 90.00
Space group C2/m (No. 12)
One atom of each set of equivalent atoms:
Rb: 0.000 0.000 0.000 x2
Rb: 0.250 0.250 0.000 x4
Np: 0.000 0.500 0.500 x2
Np: 0.250 0.250 0.500 x4
Pt: 0.000 0.000 0.500 x2
Se: 0.017 0.234 0.317 x8
Se: 0.219 0.000 0.684 x4
Se: 0.233 0.500 0.699 x4